# 1
VASP calculation (PBE) on a geometry-optimized RuBrCl4 structure.

Values from the calculation:
**Total magnetic moment**: 2.968 μB per formula unit
**E_form (uncorrected)**: -0.27 eV per atom

abc: 7.1380 6.2573 6.8059
angles: 107.55 120.76 103.01
Closest atoms and distances in Å follow each position.
Positions (direct):
Cl1 0.6363 0.1694 0.9029  1 Ru 2.28
Br1 0.6406 0.3313 0.4126  1 Ru 2.41
Cl2 0.8540 0.7987 0.2852  1 Ru 2.20
Ru1 0.5241 0.4406 0.0704  4 Cl 2.20-2.29, 1 Br 2.41
Cl3 0.2932 0.4133 0.6675  1 Ru 2.29
Cl4 0.3019 0.5969 0.1614  1 Ru 2.28

***

# 2
VASP calculation (PBE) on a geometry-optimized LiMgGa2H structure.

Values from the calculation:
**Density of states at the Fermi level**: 1.17 states/eV/cell
**Total magnetic moment**: 0.000 μB per formula unit
**Final energy**: -13.1 eV for the cell shown

abc: 4.4223 4.4223 3.8850
angles: 90.00 90.00 90.00
Closest atoms and distances in Å follow each position.
Positions (direct):
Li1 0.0000 0.0000 0.5000  2 H 1.94
Ga1 0.0000 0.5000 0.0000  2 H 2.21
Mg1 0.5000 0.5000 0.5000  8 Ga 2.94, 4 Li 3.13
H1 0.0000 0.0000 0.0000  2 Li 1.94
Ga2 0.5000 0.0000 0.0000  2 H 2.21

***

# 3
VASP calculation (PBE) on a geometry-optimized Be2Nb2Cu structure.

Values from the calculation:
**Density of states at the Fermi level**: 3.11 states/eV/cell
**Total magnetic moment**: 0.000 μB per formula unit
**ΔH_f (0 K)**: -0.083 eV per atom

abc: 2.9860 3.6907 6.2155
angles: 107.27 90.00 90.00
Closest atoms and distances in Å follow each position.
Positions (direct):
Nb1 0.5000 0.6251 0.2501  6 Be 2.54, 4 Cu 2.80
Be1 0.0000 0.2016 0.4031  2 Be 2.17, 1 Cu 2.39
Nb2 0.5000 0.3749 0.7499  6 Be 2.54, 4 Cu 2.80
Cu1 0.0000 0.0000 0.0000  2 Be 2.39
Be2 0.0000 0.7984 0.5969  2 Be 2.17, 1 Cu 2.39

***

# 4
VASP calculation (PBE) on a geometry-optimized Al2Cu2Au structure.

Values from the calculation:
**Density of states at the Fermi level**: 1.39 states/eV/cell
**Total magnetic moment**: 0.000 μB per formula unit
**ΔH_f (0 K)**: -0.080 eV per atom

abc: 3.3868 3.3868 7.1856
angles: 76.37 76.37 90.00
Closest atoms and distances in Å follow each position.
Positions (direct):
Cu1 0.7500 0.2500 0.5000  4 Cu 2.39, 4 Al 2.59
Cu2 0.2500 0.7500 0.5000  4 Cu 2.39, 4 Al 2.59
Al1 0.3949 0.3949 0.2101  4 Cu 2.59, 4 Au 2.79, 1 Al 2.85
Au1 0.0000 0.0000 0.0000  8 Al 2.79
Al2 0.6051 0.6051 0.7899  4 Cu 2.59, 4 Au 2.79, 1 Al 2.85

***

# 5
VASP calculation (PBE) on a geometry-optimized ZnCd2I structure.

Values from the calculation:
**Density of states at the Fermi level**: 2.32 states/eV/cell
**Total magnetic moment**: 0.000 μB per formula unit
**E_form (uncorrected)**: 0.02 eV per atom

abc: 8.1846 8.1846 6.6910
angles: 52.29 52.29 90.00
Closest atoms and distances in Å follow each position.
Positions (direct):
Cd1 0.1685 0.6250 0.2500  2 Zn 2.78
I1 0.0000 0.0000 0.0000  4 Cd 3.27, 2 Zn 3.36
Zn1 0.5000 0.5000 0.0000  4 Cd 2.78
Zn2 0.2500 0.7500 0.5000  4 Cd 2.78
Cd2 0.3750 0.4185 0.7500  2 Zn 2.78
Cd3 0.8750 0.8315 0.7500  2 Zn 2.78
I2 0.7500 0.2500 0.5000  4 Cd 3.27, 2 Zn 3.36
Cd4 0.5815 0.1250 0.2500  2 Zn 2.78

***

# 6
VASP calculation (PBE) on a geometry-optimized Nb2PC structure.

Values from the calculation:
**Density of states at the Fermi level**: 2.26 states/eV/cell
**Total magnetic moment**: 0.000 μB per formula unit
**ΔH_f (0 K)**: 0.080 eV per atom

abc: 4.2198 4.2198 4.2198
angles: 60.00 60.00 60.00
Closest atoms and distances in Å follow each position.
Positions (direct):
P1 0.5000 0.5000 0.5000  8 Nb 2.58
Nb1 0.7500 0.7500 0.7500  4 P 2.58, 4 C 2.58
C1 0.0000 0.0000 0.0000  8 Nb 2.58
Nb2 0.2500 0.2500 0.2500  4 P 2.58, 4 C 2.58

***

# 7
VASP calculation (PBE) on a geometry-optimized Th3Ni4Ge2 structure.

Values from the calculation:
**Density of states at the Fermi level**: 7.20 states/eV/cell
**Total magnetic moment**: 0.000 μB per formula unit
**ΔH_f (0 K)**: -0.630 eV per atom

abc: 4.1327 5.7951 8.2697
angles: 106.54 90.00 110.89
Closest atoms and distances in Å follow each position.
Positions (direct):
Ge1 0.3791 0.7582 0.7120  3 Ni 2.41-2.43
Ge2 0.6209 0.2418 0.2880  3 Ni 2.41-2.43
Ni1 0.9400 0.8800 0.6058  2 Ge 2.41, 1 Ni 2.48
Th1 0.6561 0.3123 0.6767  8 Ni 3.00-3.30, 4 Ge 3.10-3.12
Th2 0.3439 0.6877 0.3233  8 Ni 3.00-3.30, 4 Ge 3.10-3.12
Ni2 0.2792 0.5583 0.9384  1 Ge 2.43, 2 Ni 2.47
Th3 0.0000 0.0000 0.0000  8 Ni 3.08-3.21, 4 Ge 3.12
Ni3 0.7208 0.4417 0.0616  1 Ge 2.43, 2 Ni 2.47
Ni4 0.0600 0.1200 0.3942  2 Ge 2.41, 1 Ni 2.48

***

# 8
VASP calculation (PBE) on a geometry-optimized LaTb2N structure.

Values from the calculation:
**Density of states at the Fermi level**: 4.73 states/eV/cell
**Total magnetic moment**: 0.000 μB per formula unit
**E_form (uncorrected)**: -0.70 eV per atom

abc: 3.4715 3.4715 9.9820
angles: 79.99 79.99 60.00
Closest atoms and distances in Å follow each position.
Positions (direct):
Tb1 0.8791 0.8791 0.3627  3 N 2.41
La1 0.0000 0.0000 0.0000  6 La 3.47, 2 Tb 3.55
Tb2 0.1209 0.1209 0.6373  3 N 2.41
N1 0.5000 0.5000 0.5000  6 Tb 2.41

***

# 9
VASP calculation (PBE) on a geometry-optimized KHf2TlRu structure.

Values from the calculation:
**Density of states at the Fermi level**: 11.78 states/eV/cell
**Total magnetic moment**: 0.269 μB per formula unit
**ΔH_f (0 K)**: 1.963 eV per atom

abc: 5.3329 5.5445 5.3329
angles: 90.00 90.00 90.00
Closest atoms and distances in Å follow each position.
Positions (direct):
Tl1 0.0000 0.0000 0.0000  4 Hf 2.67, 2 K 2.77
Hf1 0.0000 0.0000 0.5000  2 Tl 2.67
Ru1 0.5000 0.5000 0.5000  4 K 3.77, 8 Hf 3.85
Hf2 0.5000 0.0000 0.0000  2 Tl 2.67
K1 0.0000 0.5000 0.0000  2 Tl 2.77

***

# 10
VASP calculation (PBE) on a geometry-optimized Sm5Ir2Se2 structure.

Values from the calculation:
**Density of states at the Fermi level**: 14.62 states/eV/cell
**Total magnetic moment**: 0.000 μB per formula unit
**E_form (uncorrected)**: -1.14 eV per atom

abc: 7.8009 7.8338 8.5281
angles: 117.34 90.00 90.00
Closest atoms and distances in Å follow each position.
Positions (direct):
Sm1 0.6573 0.2873 0.2502  3 Ir 2.93-3.03, 3 Se 3.12-3.20
Sm2 0.5000 0.5000 0.0000  4 Ir 3.03, 2 Se 3.10
Sm3 0.0000 0.0000 0.0000  4 Ir 3.03, 2 Se 3.10
Ir1 0.6370 0.8618 0.0000  8 Sm 2.93-3.03, 1 Ir 3.04
Sm4 0.8427 0.5372 0.7498  3 Ir 2.93-3.03, 3 Se 3.12-3.20
Se1 0.0000 0.7951 0.5902  7 Sm 3.10-3.20
Ir2 0.3630 0.1383 0.0000  8 Sm 2.93-3.03, 1 Ir 3.04
Sm5 0.1573 0.4628 0.2502  3 Ir 2.93-3.03, 3 Se 3.12-3.20
Se2 0.0000 0.2049 0.4098  7 Sm 3.10-3.20
Sm6 0.1573 0.2127 0.7498  3 Ir 2.93-3.03, 3 Se 3.12-3.20
Se3 0.5000 0.2951 0.5902  7 Sm 3.10-3.20
Sm7 0.6573 0.0372 0.7498  3 Ir 2.93-3.03, 3 Se 3.12-3.20
Sm8 0.3427 0.9628 0.2502  3 Ir 2.93-3.03, 3 Se 3.12-3.20
Se4 0.5000 0.7049 0.4098  7 Sm 3.10-3.20
Ir3 0.8630 0.3618 0.0000  8 Sm 2.93-3.03, 1 Ir 3.04
Sm9 0.3427 0.7127 0.7498  3 Ir 2.93-3.03, 3 Se 3.12-3.20
Sm10 0.8427 0.7873 0.2502  3 Ir 2.93-3.03, 3 Se 3.12-3.20
Ir4 0.1370 0.6382 0.0000  8 Sm 2.93-3.03, 1 Ir 3.04

***

# 11
VASP calculation (PBE) on a geometry-optimized YTa4 structure.

Values from the calculation:
**Density of states at the Fermi level**: 2.62 states/eV/cell
**Total magnetic moment**: 0.000 μB per formula unit
**ΔH_f (0 K)**: 2.418 eV per atom

abc: 4.8232 4.8232 4.8232
angles: 90.00 90.00 90.00
Closest atoms and distances in Å follow each position.
Positions (direct):
Ta1 0.0000 0.5000 0.5000  2 Y 2.41
Ta2 0.0000 0.0000 0.0000  12 Ta 3.41
Y1 0.5000 0.5000 0.5000  6 Ta 2.41
Ta3 0.5000 0.5000 0.0000  2 Y 2.41
Ta4 0.5000 0.0000 0.5000  2 Y 2.41

***

# 12
VASP calculation (PBE) on a geometry-optimized SrCd2W structure.

Values from the calculation:
**Density of states at the Fermi level**: 1.98 states/eV/cell
**Total magnetic moment**: 0.000 μB per formula unit
**ΔH_f (0 K)**: 0.698 eV per atom

abc: 5.3441 5.3441 3.1125
angles: 90.00 90.00 90.00
Closest atoms and distances in Å follow each position.
Positions (direct):
Cd1 0.5000 0.5000 0.0000  4 W 3.09, 4 Sr 3.09, 2 Cd 3.11
Cd2 0.0000 0.0000 0.0000  4 W 3.09, 4 Sr 3.09, 2 Cd 3.11
W1 0.0000 0.5000 0.5000  8 Cd 3.09, 2 W 3.11
Sr1 0.5000 0.0000 0.5000  8 Cd 3.09, 2 Sr 3.11